# 1
The following is a DFT calculation (PBE-GGA) of Nb2CdSb2 after structural relaxation.

Volume in Å³/cell: 215
E in eV/atom: -5.7362
SG: No. 127
Excess energy over the best structure of this formula in the dataset in meV per atom: 210
Size of the total moment in μB per cell: 0.00
Formation energy without anion corrections in eV per atom: 0.12

Geometry as POSCAR:
```
Nb2CdSb2
1.0
7.905 0.000 0.000
0.000 7.905 0.000
0.000 0.000 3.440
Nb Cd Sb
4 2 4
Cartesian
1.125 2.828 0.000 Nb
2.828 6.780 0.000 Nb
5.077 1.125 0.000 Nb
6.780 5.077 0.000 Nb
0.000 0.000 1.720 Cd
3.953 3.953 1.720 Cd
1.183 5.135 1.720 Sb
2.770 1.183 1.720 Sb
5.135 6.722 1.720 Sb
6.722 2.770 1.720 Sb
```



# 2
The following is a DFT calculation (PBE-GGA) of PmErCdIr after structural relaxation.

Volume in Å³/cell: 93
E in eV/atom: -5.2770
SG: No. 216
Size of the total moment in μB per cell: 0.00
Energy of formation in eV per atom: -0.50

Geometry as POSCAR:
```
PmErCdIr
1.0
0.000 3.594 3.594
3.594 0.000 3.594
3.594 3.594 0.000
Pm Er Cd Ir
1 1 1 1
Cartesian
0.000 0.000 0.000 Pm
3.594 3.594 3.594 Er
1.797 1.797 1.797 Cd
5.392 5.392 5.392 Ir
```



# 3
The following is a DFT calculation (PBE-GGA) of BaSnSN2 after structural relaxation.

Volume in Å³/cell: 100
E in eV/atom: -5.1778
SG: No. 123
Excess energy over the best structure of this formula in the dataset in meV per atom: 0
Size of the total moment in μB per cell: 2.02
Formation energy without anion corrections in eV per atom: 0.16

Geometry as POSCAR:
```
BaSnSN2
1.0
4.370 0.000 0.000
0.000 4.370 0.000
0.000 0.000 5.215
Ba Sn S N
1 1 1 2
Cartesian
0.000 0.000 0.000 Ba
2.185 2.185 2.608 Sn
2.185 2.185 0.000 S
0.000 2.185 2.608 N
2.185 0.000 2.608 N
```



# 4
The following is a DFT calculation (PBE-GGA) of Pm2AlTc after structural relaxation.

Volume in Å³/cell: 96
E in eV/atom: -5.3028
SG: No. 166
Excess energy over the best structure of this formula in the dataset in meV per atom: 638
Size of the total moment in μB per cell: 1.17
Energy of formation in eV per atom: 0.60

Geometry as POSCAR:
```
Pm2AlTc
1.0
1.612 0.931 10.663
-1.612 0.931 10.663
0.000 -1.862 10.663
Pm Al Tc
2 1 1
Cartesian
0.000 0.000 2.715 Pm
0.000 0.000 29.275 Pm
0.000 0.000 15.995 Al
0.000 0.000 0.000 Tc
```



# 5
The following is a DFT calculation (PBE-GGA) of LiAlGe after structural relaxation.

Volume in Å³/cell: 241
E in eV/atom: -3.3434
SG: No. 139
Size of the total moment in μB per cell: 0.00
Energy of formation in eV per atom: 0.08

Geometry as POSCAR:
```
LiAlGe
1.0
-5.079 5.079 2.334
5.079 -5.079 2.334
5.079 5.079 -2.334
Li Al Ge
4 4 4
Cartesian
2.249 0.000 0.000 Li
7.909 0.000 0.000 Li
0.000 2.249 0.000 Li
0.000 7.909 0.000 Li
3.002 3.002 0.000 Al
2.077 -2.077 2.334 Al
-2.077 2.077 2.334 Al
2.077 2.077 2.334 Al
5.079 1.328 0.000 Ge
1.328 5.079 0.000 Ge
3.751 0.000 2.334 Ge
0.000 3.751 2.334 Ge
```



# 6
The following is a DFT calculation (PBE-GGA) of Ac4Ru2Br after structural relaxation.

Volume in Å³/cell: 243
E in eV/atom: -5.7856
SG: No. 166
Size of the total moment in μB per cell: 0.00
Formation energy without anion corrections in eV per atom: -0.55

Geometry as POSCAR:
```
Ac4Ru2Br
1.0
2.157 1.245 15.060
-2.157 1.245 15.060
0.000 -2.490 15.060
Ac Ru Br
4 2 1
Cartesian
0.000 0.000 5.690 Ac
0.000 0.000 12.533 Ac
0.000 0.000 32.649 Ac
0.000 0.000 39.491 Ac
0.000 0.000 19.224 Ru
0.000 0.000 25.958 Ru
0.000 0.000 0.000 Br
```



# 7
The following is a DFT calculation (PBE-GGA) of Al4SnHg after structural relaxation.

Volume in Å³/cell: 124
E in eV/atom: -3.0329
SG: No. 216
Size of the total moment in μB per cell: 0.00
Energy of formation in eV per atom: 0.18

Geometry as POSCAR:
```
Al4SnHg
1.0
0.000 3.954 3.954
3.954 0.000 3.954
3.954 3.954 0.000
Al Sn Hg
4 1 1
Cartesian
0.988 0.988 0.988 Al
2.965 2.965 0.988 Al
2.965 0.988 2.965 Al
0.988 2.965 2.965 Al
3.954 3.954 3.954 Sn
5.930 5.930 5.930 Hg
```



# 8
The following is a DFT calculation (PBE-GGA) of La2Pr3Cd after structural relaxation.

Volume in Å³/cell: 203
E in eV/atom: -4.0162
SG: No. 44
Excess energy over the best structure of this formula in the dataset in meV per atom: 175
Size of the total moment in μB per cell: 0.00
Energy of formation in eV per atom: 0.17

Geometry as POSCAR:
```
La2Pr3Cd
1.0
-3.273 5.176 2.999
3.273 -5.176 2.999
3.273 5.176 -2.999
La Pr Cd
2 3 1
Cartesian
0.000 1.757 0.000 La
0.000 8.595 0.000 La
3.273 1.602 0.012 Pr
0.000 0.000 2.998 Pr
0.000 3.574 3.011 Pr
0.000 5.176 0.016 Cd
```



# 9
The following is a DFT calculation (PBE-GGA) of KZrNb2Al after structural relaxation.

Volume in Å³/cell: 103
E in eV/atom: -4.4859
SG: No. 123
Size of the total moment in μB per cell: 0.00
Energy of formation in eV per atom: 2.22

Geometry as POSCAR:
```
KZrNb2Al
1.0
4.628 0.000 0.000
0.000 4.628 0.000
0.000 0.000 4.821
K Zr Nb Al
1 1 2 1
Cartesian
0.000 0.000 0.000 K
0.000 0.000 2.411 Zr
0.000 2.314 0.000 Nb
2.314 0.000 0.000 Nb
2.314 2.314 2.411 Al
```



# 10
The following is a DFT calculation (PBE-GGA) of ScRe3Sb after structural relaxation.

Volume in Å³/cell: 104
E in eV/atom: -7.2321
SG: No. 221
Excess energy over the best structure of this formula in the dataset in meV per atom: 348
Size of the total moment in μB per cell: 2.74
Formation energy without anion corrections in eV per atom: 2.33

Geometry as POSCAR:
```
ScRe3Sb
1.0
4.699 0.000 0.000
0.000 4.699 0.000
0.000 0.000 4.699
Sc Re Sb
1 3 1
Cartesian
0.000 0.000 0.000 Sc
0.000 0.000 2.349 Re
0.000 2.349 0.000 Re
2.349 0.000 0.000 Re
2.349 2.349 2.349 Sb
```



# 11
The following is a DFT calculation (PBE-GGA) of Na3AlV after structural relaxation.

Volume in Å³/cell: 177
E in eV/atom: -2.2837
SG: No. 221
Excess energy over the best structure of this formula in the dataset in meV per atom: 0
Size of the total moment in μB per cell: 3.86
Energy of formation in eV per atom: 1.08

Geometry as POSCAR:
```
Na3AlV
1.0
5.615 0.000 0.000
0.000 5.615 0.000
0.000 0.000 5.615
Na Al V
3 1 1
Cartesian
0.000 0.000 2.807 Na
0.000 2.807 0.000 Na
2.807 0.000 0.000 Na
0.000 0.000 0.000 Al
2.807 2.807 2.807 V
```



# 12
The following is a DFT calculation (PBE-GGA) of Ac2PmNi after structural relaxation.

Volume in Å³/cell: 141
E in eV/atom: -4.2010
SG: No. 166
Excess energy over the best structure of this formula in the dataset in meV per atom: 615
Size of the total moment in μB per cell: 0.00
Energy of formation in eV per atom: 0.49

Geometry as POSCAR:
```
Ac2PmNi
1.0
1.890 1.091 11.429
-1.890 1.091 11.429
0.000 -2.182 11.429
Ac Pm Ni
2 1 1
Cartesian
0.000 0.000 2.617 Ac
0.000 0.000 31.670 Ac
0.000 0.000 17.144 Pm
0.000 0.000 0.000 Ni
```